Computed, not measured: a relaxed structure of Ca4TlNi at the PBE-GGA level of DFT.

Geometry as extended XYZ:
```
6
Lattice="6.239 -1.669 -0.691 3.829 -0.488 5.223 2.042 -5.834 1.996" Properties=species:S:1:pos:R:3 pbc="T T T"
Ni 9.082 -5.993 4.896
Tl 0.000 0.000 0.000
Ca 4.546 -3.000 2.451
Ca 6.454 -3.243 5.054
Ca 5.564 -5.907 3.445
Ca 7.655 -3.831 2.106
```

The value obtained for the total energy is -12.71 eV for the cell shown. Its space group is F-43m (216). The calculation puts the density of states at the Fermi level at 5.300 states/eV/cell. Its magnetic moment is 0.054 μB per atom. As for the relative energy among the computed polymorphs: 770 meV/atom.

Computed, not measured: a relaxed structure of Ca2TlNi at the PBE-GGA level of DFT.

Geometry as extended XYZ:
```
4
Lattice="-1.912 6.863 -4.048 0.708 -4.712 -1.833 -3.411 0.155 -1.733" Properties=species:S:1:pos:R:3 pbc="T T T"
Tl -0.602 1.075 -2.941
Ni -1.352 -2.278 -1.783
Ca -2.662 3.509 -2.890
Ca 0.000 0.000 0.000
```

The value obtained for the total energy is -12.55 eV for the cell shown. Its space group is C2/m (12). The calculation puts the density of states at the Fermi level at 3.414 states/eV/cell. Its magnetic moment is 0.000 μB per atom.

Computed, not measured: a relaxed structure of Ca2TlNi at the PBE-GGA level of DFT.

Geometry as extended XYZ:
```
4
Lattice="-2.511 1.378 2.120 -2.499 -0.889 -2.380 -0.917 -7.413 3.733" Properties=species:S:1:pos:R:3 pbc="T T T"
Ni -0.498 -4.021 2.025
Ca -2.800 -2.143 1.072
Ca -0.865 -6.993 3.521
Tl -3.140 -4.886 2.454
```

The value obtained for the total energy is -12.35 eV for the cell shown. Its space group is P4mm (99). The calculation puts the density of states at the Fermi level at 3.111 states/eV/cell. Its magnetic moment is 0.000 μB per atom.

Computed, not measured: a relaxed structure of CaTl2Ni at the PBE-GGA level of DFT.

Geometry as extended XYZ:
```
4
Lattice="-0.861 -3.297 -0.465 2.997 -0.561 -1.590 3.201 -1.774 6.658" Properties=species:S:1:pos:R:3 pbc="T T T"
Ni 3.469 -3.259 3.966
Ca 1.869 -2.373 0.637
Tl 3.049 -1.689 6.341
Tl 1.753 -0.971 3.645
```

The value obtained for the total energy is -12.69 eV for the cell shown. Its space group is P4/mmm (123). The calculation puts the density of states at the Fermi level at 2.170 states/eV/cell. Its magnetic moment is 0.000 μB per atom.

Computed, not measured: a relaxed structure of Ca2TlNi at the PBE-GGA level of DFT.

Geometry as extended XYZ:
```
4
Lattice="6.302 0.046 0.008 3.102 5.486 -0.008 -4.150 -3.704 2.962" Properties=species:S:1:pos:R:3 pbc="T T T"
Ca 0.073 0.043 0.000
Ca 3.026 -0.682 1.485
Ni 4.548 2.676 0.000
Tl 2.308 2.557 1.477
```

The value obtained for the total energy is -12.59 eV for the cell shown. Its space group is Imm2 (44). The calculation puts the density of states at the Fermi level at 3.688 states/eV/cell. Its magnetic moment is 0.000 μB per atom.

Computed, not measured: a relaxed structure of Ca12TlNi6 at the PBE-GGA level of DFT.

Geometry as extended XYZ:
```
19
Lattice="8.283 0.000 -2.928 -4.142 7.173 -2.928 0.000 0.000 8.785" Properties=species:S:1:pos:R:3 pbc="T T T"
Ca 3.889 4.965 0.046
Ca 0.511 3.531 -0.723
Ca 2.039 0.886 5.903
Ca 3.313 1.323 0.723
Ca -1.339 4.965 5.134
Ca 6.497 1.323 2.974
Ca 3.630 3.642 3.652
Ca 0.252 2.208 2.883
Ca 0.828 5.851 2.205
Ca 5.481 2.208 -2.205
Ca -2.355 5.851 -0.046
Ca 2.103 6.288 -2.974
Ni 0.469 6.362 -0.663
Ni 3.673 0.812 3.591
Ni -1.602 4.398 2.266
Ni 5.744 2.775 0.663
Ni 3.008 3.587 -2.266
Ni 1.134 3.587 5.194
Tl 0.000 0.000 0.000
```

The value obtained for the total energy is -63.30 eV for the cell shown. Its space group is Im-3 (204). The calculation puts the density of states at the Fermi level at 19.631 states/eV/cell. Its magnetic moment is 0.010 μB per atom.

Computed, not measured: a relaxed structure of CaTl2Ni at the PBE-GGA level of DFT.

Geometry as extended XYZ:
```
4
Lattice="-5.174 -0.273 1.657 -1.660 -5.026 -1.255 4.419 1.582 2.750" Properties=species:S:1:pos:R:3 pbc="T T T"
Tl 0.000 0.000 0.000
Tl -0.329 -3.047 0.848
Ni -2.086 -0.671 2.304
Ca -3.417 -2.650 0.201
```

The value obtained for the total energy is -12.25 eV for the cell shown. Its space group is I-4m2 (119). The calculation puts the density of states at the Fermi level at 2.499 states/eV/cell. Its magnetic moment is 0.000 μB per atom.

Computed, not measured: a relaxed structure of CaTl2Ni at the PBE-GGA level of DFT.

Geometry as extended XYZ:
```
4
Lattice="-2.822 4.199 2.876 -5.746 -0.919 -0.012 5.072 -2.302 1.684" Properties=species:S:1:pos:R:3 pbc="T T T"
Ni -2.479 -0.790 1.552
Tl -3.906 1.495 1.306
Tl -0.378 0.145 0.126
Ca -1.017 1.769 2.996
```

The value obtained for the total energy is -12.73 eV for the cell shown. Its space group is Immm (71). The calculation puts the density of states at the Fermi level at 2.554 states/eV/cell. Its magnetic moment is 0.000 μB per atom.

Computed, not measured: a relaxed structure of CaTl2Ni at the PBE-GGA level of DFT.

Geometry as extended XYZ:
```
8
Lattice="4.479 0.000 0.000 0.000 4.479 0.000 2.239 2.239 10.369" Properties=species:S:1:pos:R:3 pbc="T T T"
Tl 5.599 5.736 7.777
Tl 0.982 3.359 2.592
Tl 3.497 1.120 2.592
Tl 3.359 3.221 7.777
Ca 2.239 2.239 0.000
Ca 2.239 4.479 5.185
Ni 4.479 2.239 5.185
Ni 0.000 0.000 0.000
```

The value obtained for the total energy is -23.56 eV for the cell shown. Its space group is I-42d (122). The calculation puts the density of states at the Fermi level at 4.477 states/eV/cell. Its magnetic moment is 0.000 μB per atom.

Computed, not measured: a relaxed structure of CaTl2Ni at the PBE-GGA level of DFT.

Geometry as extended XYZ:
```
4
Lattice="-0.399 -3.497 -0.601 3.536 -0.341 -0.363 0.635 -1.354 7.455" Properties=species:S:1:pos:R:3 pbc="T T T"
Ni 2.065 -2.977 5.343
Ca 0.344 -0.733 4.034
Tl 1.717 -2.235 1.256
Tl 0.600 -1.279 7.042
```

The value obtained for the total energy is -12.40 eV for the cell shown. Its space group is P4mm (99). The calculation puts the density of states at the Fermi level at 2.731 states/eV/cell. Its magnetic moment is 0.000 μB per atom.

Computed, not measured: a relaxed structure of Ca2TlNi at the PBE-GGA level of DFT.

Geometry as extended XYZ:
```
8
Lattice="8.189 0.000 0.000 0.000 8.189 0.000 4.094 4.094 3.252" Properties=species:S:1:pos:R:3 pbc="T T T"
Ni 4.094 8.189 1.626
Ni 4.094 4.094 0.000
Ca 5.656 2.047 0.813
Ca 2.533 6.142 0.813
Ca 10.236 9.750 2.439
Ca 6.142 6.627 2.439
Tl 8.189 4.094 1.626
Tl 0.000 0.000 0.000
```

The value obtained for the total energy is -23.73 eV for the cell shown. Its space group is I-42d (122). The calculation puts the density of states at the Fermi level at 6.320 states/eV/cell. Its magnetic moment is 0.000 μB per atom.

Computed, not measured: a relaxed structure of Ca4TlNi at the PBE-GGA level of DFT.

Geometry as extended XYZ:
```
12
Lattice="-0.059 3.699 4.746 -6.424 2.958 -4.341 -1.671 -7.250 3.674" Properties=species:S:1:pos:R:3 pbc="T T T"
Ca -2.028 0.379 3.453
Ca -3.418 -3.946 4.900
Ca -2.703 0.043 -0.109
Ca -4.735 3.353 -0.821
Ca -5.450 -0.637 4.188
Ca -1.614 -1.564 6.865
Ca -6.125 -0.973 0.626
Ca -6.539 0.971 -2.786
Tl -4.715 1.966 2.175
Tl -3.439 -2.560 1.904
Ni -6.433 3.872 -3.146
Ni -1.720 -4.465 7.225
```

The value obtained for the total energy is -34.67 eV for the cell shown. Its space group is C2/c (15). The calculation puts the density of states at the Fermi level at 8.702 states/eV/cell. Its magnetic moment is 0.000 μB per atom. As for the relative energy among the computed polymorphs: 0 meV/atom.

In the order shown, the computed formation enthalpy at 0 K values come out to 0.573 -0.100 -0.049 -0.043 -0.110 -0.117 0.068 -0.053 0.184 0.030 0.071 -0.197 eV per atom.